Entry 1:
# Ta2Sb

A relaxed Ta2Sb crystal (PBE-GGA, Alexandria via LeMat-Bulk).

Cell lengths 6.1518, 6.1518, 5.9499 Å; angles 72.86, 72.86, 33.52 degrees
Element x y z (fractional)
Ta: 0.0121 0.0121 0.7299
Sb: 0.3468 0.3468 0.0832
Ta: 0.6665 0.6665 0.4071
Ta: 0.3335 0.3335 0.5929
Sb: 0.6532 0.6532 0.9168
Ta: 0.9879 0.9879 0.2701

Results
uncorrected energy	-55.29	eV per cell
space-group type	C2/m
total magnetization	0.0	Bohr magnetons per cell

Entry 2:
# Ta2Sb

A relaxed Ta2Sb crystal (PBE-GGA, Alexandria via LeMat-Bulk).

Cell lengths 5.5751, 5.5751, 9.2539 Å; angles 90.00, 90.00, 120.00 degrees
Element x y z (fractional)
Ta: 0.1669 0.8331 0.7500
Ta: 0.6662 0.8331 0.7500
Sb: 0.6667 0.3333 0.5679
Ta: 0.0000 0.0000 0.5000
Ta: 0.1669 0.3338 0.7500
Sb: 0.6667 0.3333 0.9321
Ta: 0.3338 0.1669 0.2500
Ta: 0.8331 0.6662 0.2500
Ta: 0.0000 0.0000 0.0000
Sb: 0.3333 0.6667 0.4321
Ta: 0.8331 0.1669 0.2500
Sb: 0.3333 0.6667 0.0679

Results
uncorrected energy	-106.45	eV per cell
space-group type	P6_3/mmc
total magnetization	0.0	Bohr magnetons per cell

Entry 3:
# TaSb2

A relaxed TaSb2 crystal (PBE-GGA, Alexandria via LeMat-Bulk).

Cell lengths 6.3506, 6.3506, 8.4981 Å; angles 75.80, 75.80, 27.85 degrees
Element x y z (fractional)
Sb: 0.9776 0.9776 0.7418
Sb: 0.2831 0.2831 0.2148
Ta: 0.6394 0.6394 0.4907
Sb: 0.0224 0.0224 0.2582
Ta: 0.3606 0.3606 0.5093
Sb: 0.7169 0.7169 0.7852

Results
uncorrected energy	-39.94	eV per cell
space-group type	C2/m
total magnetization	0.0	Bohr magnetons per cell

Entry 4:
# TaSb2

A relaxed TaSb2 crystal (PBE-GGA, Alexandria via LeMat-Bulk).

Cell lengths 7.5178, 7.5178, 5.2851 Å; angles 90.00, 90.00, 151.39 degrees
Element x y z (fractional)
Sb: 0.3504 0.6496 0.2500
Sb: 0.9506 0.0494 0.7500
Sb: 0.6496 0.3504 0.7500
Ta: 0.7030 0.2970 0.2500
Sb: 0.0494 0.9506 0.2500
Ta: 0.2970 0.7030 0.7500

Results
uncorrected energy	-39.90	eV per cell
space-group type	Cmcm
total magnetization	0.0	Bohr magnetons per cell

Entry 5:
# TaSb3

A relaxed TaSb3 crystal (PBE-GGA, Alexandria via LeMat-Bulk).

Cell lengths 5.1769, 5.1769, 3.4870 Å; angles 90.00, 90.00, 90.00 degrees
Element x y z (fractional)
Sb: 0.5000 0.0000 0.5000
Sb: 0.0000 0.0000 0.0000
Ta: 0.0000 0.5000 0.5000
Sb: 0.5000 0.5000 0.0000

Results
ΔE to the lowest computed polymorph	444.2	meV/atom
space-group type	P4/mmm
total magnetization	0.0	Bohr magnetons per cell

Entry 6:
# TaSb3

A relaxed TaSb3 crystal (PBE-GGA, Alexandria via LeMat-Bulk).

Cell lengths 10.0411, 10.0411, 10.0411 Å; angles 19.38, 19.38, 19.38 degrees
Element x y z (fractional)
Ta: 0.0000 0.0000 0.0000
Sb: 0.2624 0.2624 0.2624
Sb: 0.7376 0.7376 0.7376
Sb: 0.5000 0.5000 0.5000

Results
ΔE to the lowest computed polymorph	87.8	meV/atom
space-group type	R-3m
total magnetization	0.0	Bohr magnetons per cell

Entry 7:
# Ta3Sb

A relaxed Ta3Sb crystal (PBE-GGA, Alexandria via LeMat-Bulk).

Cell lengths 4.8110, 2.9992, 5.3573 Å; angles 84.06, 90.00, 90.00 degrees
Element x y z (fractional)
Ta: 0.5000 0.2211 0.2659
Ta: 0.0000 0.5000 0.5000
Ta: 0.5000 0.7789 0.7341
Sb: 0.0000 0.0000 0.0000

Results
ΔE to the lowest computed polymorph	225.6	meV/atom
space-group type	P2/m
total magnetization	0.0	Bohr magnetons per cell

Entry 8:
# TaSb

A relaxed TaSb crystal (PBE-GGA, Alexandria via LeMat-Bulk).

Cell lengths 3.9961, 3.9961, 3.9961 Å; angles 60.00, 60.00, 60.00 degrees
Element x y z (fractional)
Ta: 0.5000 0.5000 0.5000
Sb: 0.0000 0.0000 0.0000

Results
uncorrected energy	-14.76	eV per cell
space-group type	Fm-3m
total magnetization	0.0	Bohr magnetons per cell